No. 1
Ho6SnAs2S3: optimized geometry, GGA-PBE.

Summary:
Symmetry: C2/m (12)
DOS at the Fermi energy in states/eV/f.u.: 4.257
Crystal system: monoclinic

Unit cell a=9.052 b=9.052 c=8.117 alpha=102.45 beta=102.45 gamma=25.77
Positions (direct):
Ho  0.000  0.000  0.234
Ho  0.000  0.000  0.766
Ho  0.328  0.328  0.413
Ho  0.332  0.332  0.916
Ho  0.668  0.668  0.084
Ho  0.672  0.672  0.587
Sn  0.500  0.500  0.500
As  0.167  0.167  0.835
As  0.833  0.833  0.165
S  0.167  0.167  0.332
S  0.500  0.500  0.000
S  0.833  0.833  0.668


No. 2
Ho4SnAsS2: optimized geometry, GGA-PBE.

Summary:
Symmetry: Imma (74)
DOS at the Fermi energy in states/eV/f.u.: 2.209
Crystal system: orthorhombic

Unit cell a=8.154 b=8.154 c=8.154 alpha=120.89 beta=119.48 gamma=89.68
Positions (direct):
Ho  0.256  0.254  0.499
Ho  0.256  0.757  0.001
Ho  0.264  0.248  0.015
Ho  0.267  0.752  0.515
Ho  0.733  0.248  0.485
Ho  0.736  0.752  0.985
Ho  0.744  0.243  0.999
Ho  0.744  0.746  0.501
Sn  0.000  0.000  0.500
Sn  0.000  0.500  0.000
As  0.000  0.500  0.500
As  0.500  0.500  0.000
S  0.000  0.000  0.000
S  0.500  0.000  0.000
S  0.500  0.000  0.500
S  0.500  0.500  0.500


No. 3
SrHoAs2S8: optimized geometry, GGA-PBE.

Summary:
Symmetry: P-3 (147)
DOS at the Fermi energy in states/eV/f.u.: 12.153
Crystal system: trigonal

Unit cell a=6.109 b=6.109 c=9.244 alpha=90.00 beta=90.00 gamma=120.00
Positions (direct):
Sr  0.000  0.000  0.000
Ho  0.000  0.000  0.500
As  0.333  0.667  0.758
As  0.667  0.333  0.242
S  0.020  0.677  0.304
S  0.323  0.343  0.304
S  0.333  0.667  0.993
S  0.343  0.020  0.696
S  0.657  0.980  0.304
S  0.667  0.333  0.007
S  0.677  0.657  0.696
S  0.980  0.323  0.696


No. 4
TbHoAsS: optimized geometry, GGA-PBE.

Summary:
Symmetry: P4/mmm (123)
DOS at the Fermi energy in states/eV/f.u.: 1.027
Crystal system: tetragonal

Unit cell a=4.024 b=4.024 c=5.672 alpha=90.00 beta=90.00 gamma=90.00
Positions (direct):
Tb  0.000  0.000  0.000
Ho  0.500  0.500  0.500
As  0.500  0.500  0.000
S  0.000  0.000  0.500


No. 5
Ho4TeAsS2: optimized geometry, GGA-PBE.

Summary:
Symmetry: P2/m (10)
DOS at the Fermi energy in states/eV/f.u.: 3.037
Crystal system: monoclinic

Unit cell a=7.026 b=4.020 c=7.074 alpha=90.00 beta=108.95 gamma=90.00
Positions (direct):
Ho  0.219  0.000  0.220
Ho  0.235  0.500  0.764
Ho  0.765  0.500  0.236
Ho  0.781  0.000  0.780
Te  0.500  0.500  0.500
As  0.500  0.000  0.000
S  0.000  0.000  0.500
S  0.000  0.500  0.000


No. 6
Ho6Te3AsS2: optimized geometry, GGA-PBE.

Summary:
Symmetry: C2/m (12)
DOS at the Fermi energy in states/eV/f.u.: 3.780
Crystal system: monoclinic

Unit cell a=7.086 b=7.086 c=7.370 alpha=99.25 beta=99.25 gamma=119.96
Positions (direct):
Ho  0.092  0.430  0.793
Ho  0.229  0.229  0.205
Ho  0.430  0.092  0.793
Ho  0.570  0.908  0.207
Ho  0.771  0.771  0.795
Ho  0.908  0.570  0.207
Te  0.000  0.000  0.500
Te  0.335  0.665  0.500
Te  0.665  0.335  0.500
As  0.500  0.500  0.000
S  0.167  0.833  0.000
S  0.833  0.167  0.000


Energy relative to the elements, uncorrected for the records above, in order: -19.1 -12.1 -7.5 -7.1 -13.5 -19.0 eV per formula unit
Spin magnetization for the records above, in order: 0.00 0.00 0.00 0.00 0.00 0.00 μB per cell